Record 1
A relaxed Ti5Mo3H12 crystal, computed with PBE.

a = 9.4425 Å, b = 9.4425 Å, c = 9.4425 Å
α = 109.47°, β = 109.47°, γ = 109.47°
Last column: nearest neighbours and their distance in Å.
Atoms (fractional coordinates):
Ti  0.0000  0.0000  0.0000  6 H 1.86
Ti  0.0000  0.0000  0.5000  6 H 1.86
Ti  0.0000  0.5000  0.0000  6 H 1.86
Ti  0.0000  0.5000  0.5000  6 H 1.86
Ti  0.1250  0.7500  0.8750  4 H 1.86
Ti  0.1250  0.8750  0.2500  4 H 1.86
Ti  0.2500  0.1250  0.8750  4 H 1.86
Ti  0.2500  0.6250  0.3750  4 H 1.86
Ti  0.3750  0.2500  0.6250  4 H 1.86
Ti  0.3750  0.6250  0.7500  4 H 1.86
Ti  0.5000  0.0000  0.0000  6 H 1.86
Ti  0.5000  0.0000  0.5000  6 H 1.86
Ti  0.5000  0.5000  0.0000  6 H 1.86
Ti  0.5000  0.5000  0.5000  6 H 1.86
Ti  0.6250  0.3750  0.2500  4 H 1.86
Ti  0.6250  0.7500  0.3750  4 H 1.86
Ti  0.7500  0.3750  0.6250  4 H 1.86
Ti  0.7500  0.8750  0.1250  4 H 1.86
Ti  0.8750  0.1250  0.7500  4 H 1.86
Ti  0.8750  0.2500  0.1250  4 H 1.86
Mo  0.1250  0.2500  0.3750  8 H 1.94-1.95
Mo  0.1250  0.3750  0.7500  8 H 1.94-1.95
Mo  0.2500  0.3750  0.1250  8 H 1.94-1.95
Mo  0.2500  0.8750  0.6250  8 H 1.94-1.95
Mo  0.3750  0.1250  0.2500  8 H 1.94-1.95
Mo  0.3750  0.7500  0.1250  8 H 1.94-1.95
Mo  0.6250  0.2500  0.8750  8 H 1.94-1.95
Mo  0.6250  0.8750  0.7500  8 H 1.94-1.95
Mo  0.7500  0.1250  0.3750  8 H 1.94-1.95
Mo  0.7500  0.6250  0.8750  8 H 1.94-1.95
Mo  0.8750  0.6250  0.2500  8 H 1.94-1.95
Mo  0.8750  0.7500  0.6250  8 H 1.94-1.95
H  0.0684  0.2274  0.1476  2 Ti 1.86, 1 H 1.93, 2 Mo 1.94-1.95
H  0.0684  0.3410  0.9208  2 Ti 1.86, 1 H 1.93, 2 Mo 1.94-1.95
H  0.0792  0.6476  0.4202  2 Ti 1.86, 1 H 1.93, 2 Mo 1.94-1.95
H  0.0792  0.9316  0.6590  2 Ti 1.86, 1 H 1.93, 2 Mo 1.94-1.95
H  0.0798  0.7274  0.6590  2 Ti 1.86, 1 H 1.93, 2 Mo 1.94-1.95
H  0.0798  0.8524  0.4208  2 Ti 1.86, 1 H 1.93, 2 Mo 1.94-1.95
H  0.1476  0.0684  0.2274  2 Ti 1.86, 1 H 1.93, 2 Mo 1.94-1.95
H  0.1476  0.5792  0.9202  2 Ti 1.86, 1 H 1.93, 2 Mo 1.94-1.95
H  0.1590  0.2274  0.5798  2 Ti 1.86, 1 H 1.93, 2 Mo 1.94-1.95
H  0.1590  0.4316  0.5792  2 Ti 1.86, 1 H 1.93, 2 Mo 1.94-1.95
H  0.2274  0.1476  0.0684  2 Ti 1.86, 1 H 1.93, 2 Mo 1.94-1.95
H  0.2274  0.5798  0.1590  2 Ti 1.86, 1 H 1.93, 2 Mo 1.94-1.95
H  0.2726  0.3410  0.9202  2 Ti 1.86, 1 H 1.93, 2 Mo 1.94-1.95
H  0.2726  0.4316  0.3524  2 Ti 1.86, 1 H 1.93, 2 Mo 1.94-1.95
H  0.3410  0.9202  0.2726  2 Ti 1.86, 1 H 1.93, 2 Mo 1.94-1.95
H  0.3410  0.9208  0.0684  2 Ti 1.86, 1 H 1.93, 2 Mo 1.94-1.95
H  0.3524  0.2726  0.4316  2 Ti 1.86, 1 H 1.93, 2 Mo 1.94-1.95
H  0.3524  0.5798  0.9208  2 Ti 1.86, 1 H 1.93, 2 Mo 1.94-1.95
H  0.4202  0.0792  0.6476  2 Ti 1.86, 1 H 1.93, 2 Mo 1.94-1.95
H  0.4202  0.8410  0.7726  2 Ti 1.86, 1 H 1.93, 2 Mo 1.94-1.95
H  0.4208  0.0798  0.8524  2 Ti 1.86, 1 H 1.93, 2 Mo 1.94-1.95
H  0.4208  0.8410  0.5684  2 Ti 1.86, 1 H 1.93, 2 Mo 1.94-1.95
H  0.4316  0.3524  0.2726  2 Ti 1.86, 1 H 1.93, 2 Mo 1.94-1.95
H  0.4316  0.5792  0.1590  2 Ti 1.86, 1 H 1.93, 2 Mo 1.94-1.95
H  0.5684  0.4208  0.8410  2 Ti 1.86, 1 H 1.93, 2 Mo 1.94-1.95
H  0.5684  0.6476  0.7274  2 Ti 1.86, 1 H 1.93, 2 Mo 1.94-1.95
H  0.5792  0.1590  0.4316  2 Ti 1.86, 1 H 1.93, 2 Mo 1.94-1.95
H  0.5792  0.9202  0.1476  2 Ti 1.86, 1 H 1.93, 2 Mo 1.94-1.95
H  0.5798  0.1590  0.2274  2 Ti 1.86, 1 H 1.93, 2 Mo 1.94-1.95
H  0.5798  0.9208  0.3524  2 Ti 1.86, 1 H 1.93, 2 Mo 1.94-1.95
H  0.6476  0.4202  0.0792  2 Ti 1.86, 1 H 1.93, 2 Mo 1.94-1.95
H  0.6476  0.7274  0.5684  2 Ti 1.86, 1 H 1.93, 2 Mo 1.94-1.95
H  0.6590  0.0792  0.9316  2 Ti 1.86, 1 H 1.93, 2 Mo 1.94-1.95
H  0.6590  0.0798  0.7274  2 Ti 1.86, 1 H 1.93, 2 Mo 1.94-1.95
H  0.7274  0.5684  0.6476  2 Ti 1.86, 1 H 1.93, 2 Mo 1.94-1.95
H  0.7274  0.6590  0.0798  2 Ti 1.86, 1 H 1.93, 2 Mo 1.94-1.95
H  0.7726  0.4202  0.8410  2 Ti 1.86, 1 H 1.93, 2 Mo 1.94-1.95
H  0.7726  0.8524  0.9316  2 Ti 1.86, 1 H 1.93, 2 Mo 1.94-1.95
H  0.8410  0.5684  0.4208  2 Ti 1.86, 1 H 1.93, 2 Mo 1.94-1.95
H  0.8410  0.7726  0.4202  2 Ti 1.86, 1 H 1.93, 2 Mo 1.94-1.95
H  0.8524  0.4208  0.0798  2 Ti 1.86, 1 H 1.93, 2 Mo 1.94-1.95
H  0.8524  0.9316  0.7726  2 Ti 1.86, 1 H 1.93, 2 Mo 1.94-1.95
H  0.9202  0.1476  0.5792  2 Ti 1.86, 1 H 1.93, 2 Mo 1.94-1.95
H  0.9202  0.2726  0.3410  2 Ti 1.86, 1 H 1.93, 2 Mo 1.94-1.95
H  0.9208  0.0684  0.3410  2 Ti 1.86, 1 H 1.93, 2 Mo 1.94-1.95
H  0.9208  0.3524  0.5798  2 Ti 1.86, 1 H 1.93, 2 Mo 1.94-1.95
H  0.9316  0.6590  0.0792  2 Ti 1.86, 1 H 1.93, 2 Mo 1.94-1.95
H  0.9316  0.7726  0.8524  2 Ti 1.86, 1 H 1.93, 2 Mo 1.94-1.95

## Properties
Final energy in eV/f.u.: -115.86
Total moment in μB/cell: 0.000

=====

Record 2
A relaxed Ac2ZrH8 crystal, computed with PBE.

a = 7.2128 Å, b = 7.2128 Å, c = 7.2128 Å
α = 148.18°, β = 138.87°, γ = 52.92°
Last column: nearest neighbours and their distance in Å.
Atoms (fractional coordinates):
Ac  0.1639  0.1639  0.0000  10 H 2.46-2.64
Ac  0.8361  0.8361  0.0000  10 H 2.46-2.64
Zr  0.5000  0.5000  0.0000  8 H 2.04-2.25
H  0.1468  0.3685  0.7782  1 Zr 2.04, 1 H 2.25
H  0.2784  0.7784  0.5000  6 H 2.36-2.55, 4 Ac 2.47-2.64
H  0.2894  0.0000  0.2894  1 H 2.13, 2 Zr 2.25
H  0.4097  0.6315  0.7782  1 Zr 2.04, 1 H 2.25
H  0.5903  0.3685  0.2218  1 Zr 2.04, 1 H 2.25
H  0.7106  0.0000  0.7106  1 H 2.13, 2 Zr 2.25
H  0.7216  0.2216  0.5000  6 H 2.36-2.55, 4 Ac 2.47-2.64
H  0.8532  0.6315  0.2218  1 Zr 2.04, 1 H 2.25

## Properties
Final energy in eV/f.u.: -48.59
Total moment in μB/cell: 0.000

=====

Record 3
A relaxed MgSe crystal, computed with PBE.

a = 7.3687 Å, b = 4.2520 Å, c = 10.6194 Å
α = 90.00°, β = 103.39°, γ = 90.00°
Last column: nearest neighbours and their distance in Å.
Atoms (fractional coordinates):
Mg  0.0000  0.0000  0.0000  4 Se 2.59-2.60
Mg  0.0556  0.5000  0.6671  4 Se 2.60
Mg  0.2785  0.5000  0.3327  4 Se 2.59-2.60
Mg  0.5000  0.5000  0.0000  4 Se 2.59-2.60
Mg  0.5556  0.0000  0.6671  4 Se 2.60
Mg  0.7785  0.0000  0.3327  4 Se 2.59-2.60
Se  0.0845  0.0000  0.2516  4 Mg 2.59-2.60
Se  0.1396  0.5000  0.9187  4 Mg 2.59-2.60
Se  0.3614  0.5000  0.5847  4 Mg 2.60
Se  0.5845  0.5000  0.2516  4 Mg 2.59-2.60
Se  0.6396  0.0000  0.9187  4 Mg 2.59-2.60
Se  0.8614  0.0000  0.5847  4 Mg 2.60

## Properties
Final energy in eV/f.u.: -7.60
Total moment in μB/cell: 0.000

=====

Record 4
A relaxed K2NaTe2 crystal, computed with PBE.

a = 9.7509 Å, b = 9.7509 Å, c = 3.9088 Å
α = 90.00°, β = 90.00°, γ = 90.00°
Last column: nearest neighbours and their distance in Å.
Atoms (fractional coordinates):
K  0.1226  0.3774  0.0000  6 Te 3.38-3.56, 1 K 3.38
K  0.3774  0.8774  0.0000  6 Te 3.38-3.56, 1 K 3.38
K  0.6226  0.1226  0.0000  6 Te 3.38-3.56, 1 K 3.38
K  0.8774  0.6226  0.0000  6 Te 3.38-3.56, 1 K 3.38
Na  0.0000  0.0000  0.5000  4 Te 3.59, 2 Na 3.91
Na  0.5000  0.5000  0.5000  4 Te 3.59, 2 Na 3.91
Te  0.1774  0.6774  0.5000  6 K 3.38-3.56, 2 Na 3.59
Te  0.3226  0.1774  0.5000  6 K 3.38-3.56, 2 Na 3.59
Te  0.6774  0.8226  0.5000  6 K 3.38-3.56, 2 Na 3.59
Te  0.8226  0.3226  0.5000  6 K 3.38-3.56, 2 Na 3.59

## Properties
ΔE to the lowest computed polymorph in eV per formula unit: 0.60
Total moment in μB/cell: 0.000

=====

Record 5
A relaxed Si2AuSe crystal, computed with PBE.

a = 3.3913 Å, b = 4.3791 Å, c = 9.7498 Å
α = 90.00°, β = 90.00°, γ = 90.00°
Last column: nearest neighbours and their distance in Å.
Atoms (fractional coordinates):
Si  0.0000  0.0000  0.0000  6 Si 2.53-2.77
Si  0.0000  0.5000  0.1928  6 Si 2.53-2.77, 2 Au 2.76
Si  0.5000  0.0000  0.1928  6 Si 2.53-2.77, 2 Au 2.76
Si  0.5000  0.5000  0.0000  6 Si 2.53-2.77
Au  0.0000  0.0000  0.4164  4 Si 2.76-3.09, 4 Au 2.77
Au  0.5000  0.5000  0.4164  4 Si 2.76-3.09, 4 Au 2.77
Se  0.0000  0.5000  0.7319  4 Se 2.77
Se  0.5000  0.0000  0.7319  4 Se 2.77

## Properties
Final energy in eV/f.u.: -15.86
Total moment in μB/cell: 0.000

=====

Record 6
A relaxed Ca2SmCuO4 crystal, computed with PBE.

a = 5.7624 Å, b = 3.4399 Å, c = 5.9611 Å
α = 90.00°, β = 110.07°, γ = 90.00°
Last column: nearest neighbours and their distance in Å.
Atoms (fractional coordinates):
Ca  0.0000  0.0000  0.0000  6 O 2.31-2.38
Ca  0.5000  0.5000  0.0000  6 O 2.42-2.43
Sm  0.0000  0.5000  0.5000  6 O 2.38
Cu  0.5000  0.0000  0.5000  6 O 2.43-2.49
O  0.2352  0.0000  0.7542  3 Ca 2.31-2.43, 2 Sm 2.38, 1 Cu 2.49
O  0.2414  0.5000  0.2462  3 Ca 2.38-2.42, 1 Sm 2.38, 2 Cu 2.43
O  0.7586  0.5000  0.7538  3 Ca 2.38-2.42, 1 Sm 2.38, 2 Cu 2.43
O  0.7648  0.0000  0.2458  3 Ca 2.31-2.43, 2 Sm 2.38, 1 Cu 2.49

## Properties
Final energy in eV/f.u.: -52.08
Total moment in μB/cell: 0.073

=====

Record 7
A relaxed TaSbS2N crystal, computed with PBE.

a = 5.0311 Å, b = 5.0311 Å, c = 3.8083 Å
α = 90.00°, β = 90.00°, γ = 90.00°
Last column: nearest neighbours and their distance in Å.
Atoms (fractional coordinates):
Ta  0.0000  0.0000  0.0000  8 S 3.15
Sb  0.5000  0.5000  0.5000  2 N 1.90
S  0.0000  0.5000  0.5000  2 Sb 2.52
S  0.5000  0.0000  0.5000  2 Sb 2.52
N  0.5000  0.5000  0.0000  2 Sb 1.90

## Properties
ΔE to the lowest computed polymorph in eV per formula unit: 6.44
Total moment in μB/cell: 2.474

=====

Record 8
A relaxed VPdS2 crystal, computed with PBE.

a = 3.1267 Å, b = 3.1267 Å, c = 7.5706 Å
α = 90.00°, β = 90.00°, γ = 120.00°
Last column: nearest neighbours and their distance in Å.
Atoms (fractional coordinates):
V  0.0000  0.0000  0.0000  6 S 2.33
Pd  0.6667  0.3333  0.5000  2 S 2.31
S  0.6667  0.3333  0.1951  1 Pd 2.31, 3 V 2.33
S  0.6667  0.3333  0.8049  1 Pd 2.31, 3 V 2.33

## Properties
Final energy in eV/f.u.: -25.40
Total moment in μB/cell: 0.000

=====

Record 9
A relaxed Ga3ICl crystal, computed with PBE.

a = 5.5539 Å, b = 5.5539 Å, c = 5.5539 Å
α = 90.00°, β = 90.00°, γ = 90.00°
Last column: nearest neighbours and their distance in Å.
Atoms (fractional coordinates):
Ga  0.0000  0.0000  0.5000  2 Cl 2.78
Ga  0.0000  0.5000  0.0000  2 Cl 2.78
Ga  0.5000  0.0000  0.0000  2 Cl 2.78
I  0.5000  0.5000  0.5000  12 Ga 3.93
Cl  0.0000  0.0000  0.0000  6 Ga 2.78

## Properties
ΔE to the lowest computed polymorph in eV per formula unit: 0.00
Total moment in μB/cell: 0.000